Record 1
A relaxed SrSbO3 crystal, computed with PBE-GGA.

Geometry as POSCAR:
```
SrSbO3
1.0
4.174 0.000 0.000
0.000 4.174 0.000
0.000 0.000 4.174
Sr Sb O
1 1 3
Direct
0.500 0.500 0.500 Sr
0.000 0.000 0.000 Sb
0.500 0.000 0.000 O
0.000 0.500 0.000 O
0.000 0.000 0.500 O
```

Results
- energy relative to the elements, uncorrected (kJ/mol of atoms) = -188



Record 2
A relaxed CdRe2Ir crystal, computed with PBE-GGA.

Geometry as POSCAR:
```
CdRe2Ir
1.0
5.075 0.003 -0.016
2.171 4.587 0.016
-3.614 -2.309 2.713
Ir Re Cd
1 2 1
Direct
0.250 0.750 0.500 Ir
0.500 0.500 0.000 Re
0.000 0.000 0.000 Re
0.750 0.250 0.500 Cd
```

Results
- ΔH_f (0 K) (eV per formula unit) = 1.91



Record 3
A relaxed YAgH2S crystal, computed with PBE-GGA.

Geometry as POSCAR:
```
YAgH2S
1.0
3.780 0.000 0.000
0.000 5.537 0.000
0.000 0.000 3.780
H S Ag Y
2 1 1 1
Direct
0.000 0.000 0.500 H
0.500 0.000 0.000 H
0.000 0.500 0.000 S
0.000 0.000 0.000 Ag
0.500 0.500 0.500 Y
```

Results
- electronic total energy (eV per atom) = -4.46



Record 4
A relaxed Hf5ZrSb3 crystal, computed with PBE-GGA.

Geometry as POSCAR:
```
Hf5ZrSb3
1.0
-4.917 6.025 -0.129
-3.282 1.842 6.806
4.389 8.069 3.832
Hf Sb Zr
10 6 2
Direct
0.329 0.671 0.000 Hf
0.935 0.304 0.202 Hf
0.671 0.329 0.000 Hf
0.710 0.710 0.062 Hf
0.519 0.519 0.694 Hf
0.065 0.696 0.798 Hf
0.481 0.481 0.306 Hf
0.696 0.065 0.798 Hf
0.290 0.290 0.938 Hf
0.304 0.935 0.202 Hf
0.666 0.666 0.377 Sb
0.698 0.698 0.772 Sb
0.000 0.000 0.500 Sb
0.334 0.334 0.623 Sb
0.000 0.000 0.000 Sb
0.302 0.302 0.228 Sb
0.102 0.102 0.693 Zr
0.898 0.898 0.307 Zr
```

Results
- energy relative to the elements, uncorrected (kJ/mol of atoms) = 5